Crystalline ZrAs2IrSe at its relaxed geometry, computed with PBE.

Computed properties:
**Final energy**: -5.65 eV/atom
**Formation energy from raw total energies**: 0.39 eV per atom
**DOS(E_F)**: 5.96 states/eV/f.u.
**E above lowest polymorph**: 0 meV/atom

Lattice parameters (Å, degrees): 4.7261 4.7261 5.0660 90.00 90.00 90.00
Last column: nearest neighbours and their distance in Å.
Space group P4/mmm (No. 123)
Inequivalent atoms, fractional coordinates:
Zr 0.0000 0.0000 0.0000 (multiplicity 1)  4 Se 3.34, 8 As 3.46
As 0.0000 0.5000 0.5000 (multiplicity 2)  2 Ir 2.36
Ir 0.5000 0.5000 0.5000 (multiplicity 1)  4 As 2.36, 2 Se 2.53
Se 0.5000 0.5000 0.0000 (multiplicity 1)  2 Ir 2.53